No. 1
## NaPdSe (PBE)

Data for NaPdSe after structural relaxation.

Fermi-level density of states: 2.5 states/eV/f.u.
Density: 5143 kg/m³
Crystal system: hexagonal
Uncorrected energy: -3.899 eV/atom
Offset from the most stable computed form: 35.4 meV per atom

abc: 4.2415 4.2415 4.3182
angles: 90.00 90.00 120.00
Space group P-6m2 (No. 187)
Symmetry-distinct sites (fractional):
Na 0.0000 0.0000 0.0000
Pd 0.6667 0.3333 0.5000
Se 0.3333 0.6667 0.5000

***

No. 2
## Ag2Pb2Au (PBE)

Data for Ag2Pb2Au after structural relaxation.

Fermi-level density of states: 1.7 states/eV/f.u.
Density: 11104 kg/m³
Crystal system: tetragonal
Energy of formation from the pure elements: 147 meV/atom
Uncorrected energy: -3.133 eV/atom
Offset from the most stable computed form: 74.1 meV per atom

abc: 3.827 3.827 16.891
angles: 90.00 90.00 90.00
Space group I4/mmm (No. 139)
Symmetry-distinct sites (fractional):
Ag 0.000 0.500 0.250
Pb 0.000 0.000 0.098
Au 0.000 0.000 0.500

***

No. 3
## K3Ce3PuSe8 (PBE)

Data for K3Ce3PuSe8 after structural relaxation.

Fermi-level density of states: 27.1 states/eV/f.u.
Density: 4703 kg/m³
Crystal system: trigonal
Uncorrected energy: -5.848 eV/atom

abc: 8.6385 8.6385 23.1646
angles: 90.00 90.00 120.00
Space group R-3m (No. 166, hexagonal axes)
Symmetry-distinct sites (fractional):
K 0.0000 0.5000 0.0000
Ce 0.0000 0.5000 0.5000
Pu 0.0000 0.0000 0.5000
Se 0.0000 0.0000 0.2362
Se 0.0006 0.5003 0.2335

***

No. 4
## FeAuSe4 (PBE)

Data for FeAuSe4 after structural relaxation.

Fermi-level density of states: 3.5 states/eV/f.u.
Density: 7461 kg/m³
Crystal system: monoclinic
Uncorrected energy: -4.380 eV/atom
Offset from the most stable computed form: 0.0 meV per atom

abc: 11.639 3.579 7.088
angles: 90.00 121.00 90.00
Space group C2/m (No. 12)
Symmetry-distinct sites (fractional):
Fe 0.000 0.000 0.000
Au 0.000 0.500 0.500
Se 0.107 0.500 0.269
Se 0.158 0.000 0.885